Entry 1:
VASP calculation (PBE) on a relaxed Ir2RuCl crystal.

Lattice parameters (Å, degrees): 2.757 4.638 4.740 90.00 90.00 90.00
Element x y z (fractional)
Ir 0.000 0.000 0.000
Ir 0.500 0.500 0.000
Ru 0.000 0.500 0.500
Cl 0.500 0.000 0.500

Calculated values
Calculated volume = 15.15 Å³/atom
Formation energy from raw total energies = 0.89 eV per atom


Entry 2:
VASP calculation (PBE) on a relaxed Ir2RuCl crystal.

Lattice parameters (Å, degrees): 3.678 3.678 4.611 90.00 90.00 90.00
Element x y z (fractional)
Ir 0.000 0.500 0.000
Ir 0.500 0.000 0.000
Ru 0.000 0.000 0.500
Cl 0.500 0.500 0.500

Calculated values
Calculated volume = 15.59 Å³/atom
Formation energy from raw total energies = 1.22 eV per atom


Entry 3:
VASP calculation (PBE) on a relaxed Ir3RuCl crystal.

Lattice parameters (Å, degrees): 4.740 4.740 4.740 90.00 90.00 90.00
Element x y z (fractional)
Ir 0.000 0.000 0.500
Ir 0.000 0.500 0.000
Ir 0.500 0.000 0.000
Ru 0.000 0.000 0.000
Cl 0.500 0.500 0.500

Calculated values
Calculated volume = 21.30 Å³/atom
Formation energy from raw total energies = 2.02 eV per atom


Entry 4:
VASP calculation (PBE) on a relaxed IrRuCl crystal.

Lattice parameters (Å, degrees): 2.893 2.893 6.304 90.00 90.00 120.00
Element x y z (fractional)
Ir 0.000 0.000 0.000
Ru 0.667 0.333 0.316
Cl 0.333 0.667 0.627

Calculated values
Calculated volume = 15.23 Å³/atom
Formation energy from raw total energies = 0.48 eV per atom


Entry 5:
VASP calculation (PBE) on a relaxed Ir2RuCl crystal.

Lattice parameters (Å, degrees): 2.816 2.816 9.088 90.00 90.00 121.85
Element x y z (fractional)
Ir 0.000 0.000 0.247
Ir 0.000 0.000 0.753
Ru 0.500 0.500 0.000
Cl 0.500 0.500 0.500

Calculated values
Calculated volume = 15.31 Å³/atom
Formation energy from raw total energies = 0.66 eV per atom


Entry 6:
VASP calculation (PBE) on a relaxed IrRuCl crystal.

Lattice parameters (Å, degrees): 4.221 4.221 4.221 60.00 60.00 60.00
Element x y z (fractional)
Ir 0.000 0.000 0.000
Ru 0.250 0.250 0.250
Cl 0.500 0.500 0.500

Calculated values
Calculated volume = 17.73 Å³/atom
Formation energy from raw total energies = 0.91 eV per atom


Entry 7:
VASP calculation (PBE) on a relaxed Ir2RuCl crystal.

Lattice parameters (Å, degrees): 2.799 2.799 7.810 90.00 90.00 90.00
Element x y z (fractional)
Ir 0.000 0.000 0.231
Ir 0.000 0.000 0.769
Ru 0.500 0.500 0.000
Cl 0.500 0.500 0.500

Calculated values
Calculated volume = 15.29 Å³/atom
Formation energy from raw total energies = 0.55 eV per atom


Entry 8:
VASP calculation (PBE) on a relaxed Ir2RuCl crystal.

Lattice parameters (Å, degrees): 5.130 5.130 4.374 91.19 91.19 31.73
Element x y z (fractional)
Ir 0.220 0.220 0.241
Ir 0.780 0.780 0.759
Ru 0.500 0.500 0.000
Cl 0.000 0.000 0.500

Calculated values
Calculated volume = 15.13 Å³/atom
Formation energy from raw total energies = 0.64 eV per atom


Entry 9:
VASP calculation (PBE) on a relaxed Ir3RuCl crystal.

Lattice parameters (Å, degrees): 4.389 4.389 4.389 90.00 90.00 90.00
Element x y z (fractional)
Ir 0.000 0.000 0.500
Ir 0.000 0.500 0.000
Ir 0.500 0.000 0.000
Ru 0.500 0.500 0.500
Cl 0.000 0.000 0.000

Calculated values
Calculated volume = 16.91 Å³/atom
Formation energy from raw total energies = 1.79 eV per atom


Entry 10:
VASP calculation (PBE) on a relaxed Ir2RuCl crystal.

Lattice parameters (Å, degrees): 8.754 8.754 8.754 18.64 18.64 18.64
Element x y z (fractional)
Ir 0.248 0.248 0.248
Ir 0.752 0.752 0.752
Ru 0.500 0.500 0.500
Cl 0.000 0.000 0.000

Calculated values
Calculated volume = 14.97 Å³/atom
Formation energy from raw total energies = 0.46 eV per atom


Entry 11:
VASP calculation (PBE) on a relaxed Ir2RuCl crystal.

Lattice parameters (Å, degrees): 4.419 4.419 4.419 60.00 60.00 60.00
Element x y z (fractional)
Ir 0.250 0.250 0.250
Ir 0.750 0.750 0.750
Ru 0.000 0.000 0.000
Cl 0.500 0.500 0.500

Calculated values
Calculated volume = 15.25 Å³/atom
Formation energy from raw total energies = 1.11 eV per atom


Entry 12:
VASP calculation (PBE) on a relaxed Ir2RuCl crystal.

Lattice parameters (Å, degrees): 6.148 6.148 6.148 154.31 140.36 47.83
Element x y z (fractional)
Ir 0.211 0.211 0.000
Ir 0.789 0.789 0.000
Ru 0.000 0.500 0.500
Cl 0.500 0.000 0.500

Calculated values
Calculated volume = 16.01 Å³/atom
Formation energy from raw total energies = 0.62 eV per atom


Energy above the lowest structure with this stoichiometry: 461; 789; 232; 0; 224; 436; 120; 207; 0; 33; 675; 191 (meV/atom)
Mass density: 14.27; 13.87; 11.12; 11.94; 14.13; 10.26; 14.14; 14.29; 14.01; 14.44; 14.18; 13.51 (g/cm3)
Magnetic moment: 1.1; 0.6; 0.0; 0.0; 0.9; 0.0; 0.0; 0.0; 3.0; 0.0; 1.5; 0.0 (μB per cell)